The following is a DFT calculation (PBE) of crystalline LiNiRh2 at its relaxed geometry.

a = 8.7685 Å, b = 8.7685 Å, c = 8.7685 Å
α = 17.56°, β = 17.56°, γ = 17.56°
With the nearest neighbours (Å) after each atom.
Fractional positions:
Li: 0.0000 0.0000 0.0000  3 Ni 2.63, 6 Li 2.68, 3 Rh 2.70
Ni: 0.2511 0.2511 0.2511  3 Rh 2.58, 3 Li 2.63, 6 Ni 2.68
Rh: 0.5048 0.5048 0.5048  3 Ni 2.58, 9 Rh 2.68-2.71
Rh: 0.7521 0.7521 0.7521  9 Rh 2.68-2.71, 3 Li 2.70

Energy above the lowest structure with this stoichiometry in eV per atom: 0.111
Total DFT energy (no corrections) in eV/atom: -5.551
V in Å³/cell: 54
Space-group type: R3m (160)


The following is a DFT calculation (PBE) of crystalline LaNdCd3 at its relaxed geometry.

a = 15.3585 Å, b = 15.3585 Å, c = 5.0979 Å
α = 90.00°, β = 90.00°, γ = 166.67°
With the nearest neighbours (Å) after each atom.
Fractional positions:
La: 0.0740 0.9260 0.7500  12 Cd 3.42-3.55, 2 La 3.56
La: 0.9260 0.0740 0.2500  12 Cd 3.42-3.55, 2 La 3.56
Nd: 0.2132 0.7868 0.2500  7 Cd 3.33-3.43, 2 Nd 3.56
Nd: 0.7868 0.2132 0.7500  7 Cd 3.33-3.43, 2 Nd 3.56
Cd: 0.3255 0.6745 0.2500  2 Cd 3.03, 4 Nd 3.33
Cd: 0.3790 0.6210 0.7500  3 Cd 2.96-3.03
Cd: 0.4762 0.5238 0.7500  3 Cd 2.93-2.96
Cd: 0.5238 0.4762 0.2500  3 Cd 2.93-2.96
Cd: 0.6210 0.3790 0.2500  3 Cd 2.96-3.03
Cd: 0.6745 0.3255 0.7500  2 Cd 3.03, 4 Nd 3.33

Total DFT energy (no corrections) in eV/atom: -2.817
V in Å³/cell: 277
Space-group type: Cmcm (63)


The following is a DFT calculation (PBE) of crystalline FeHgBiPt at its relaxed geometry.

a = 6.4504 Å, b = 6.4504 Å, c = 6.4504 Å
α = 151.12°, β = 138.66°, γ = 51.21°
With the nearest neighbours (Å) after each atom.
Fractional positions:
Fe: 0.0000 0.0000 0.0000  2 Pt 2.58
Hg: 0.6631 0.1631 0.5000  4 Pt 2.79, 2 Fe 2.96
Bi: 0.3938 0.3938 0.0000  2 Pt 3.02, 4 Fe 3.05, 2 Bi 3.22
Pt: 0.1738 0.6738 0.5000  2 Fe 2.58, 4 Hg 2.79

Energy above the lowest structure with this stoichiometry in eV per atom: 0.122
Total DFT energy (no corrections) in eV/atom: -4.437
V in Å³/cell: 85
Space-group type: Imm2 (44)


The following is a DFT calculation (PBE) of crystalline ReTe2Pd at its relaxed geometry.

a = 9.1634 Å, b = 9.1634 Å, c = 9.1634 Å
α = 21.29°, β = 21.29°, γ = 21.29°
With the nearest neighbours (Å) after each atom.
Fractional positions:
Re: 0.0000 0.0000 0.0000  6 Te 2.73
Te: 0.4041 0.4041 0.4041  1 Pd 2.58, 3 Re 2.73
Te: 0.5959 0.5959 0.5959  1 Pd 2.58, 3 Re 2.73
Pd: 0.5000 0.5000 0.5000  2 Te 2.58

Energy above the lowest structure with this stoichiometry in eV per atom: 0.000
E_form (uncorrected) in eV/atom: 0.36
Total DFT energy (no corrections) in eV/atom: -5.625
V in Å³/cell: 89
Space-group type: R-3m (166)


The following is a DFT calculation (PBE) of crystalline MnCd2In at its relaxed geometry.

a = 9.9322 Å, b = 9.9322 Å, c = 9.9322 Å
α = 18.44°, β = 18.44°, γ = 18.44°
With the nearest neighbours (Å) after each atom.
Fractional positions:
Mn: 0.0000 0.0000 0.0000  6 Cd 2.89, 6 Mn 3.18
Cd: 0.2570 0.2570 0.2570  3 Mn 2.89, 6 Cd 3.18, 3 In 3.22
Cd: 0.7430 0.7430 0.7430  3 Mn 2.89, 6 Cd 3.18, 3 In 3.22
In: 0.5000 0.5000 0.5000  6 In 3.18, 6 Cd 3.22

Total DFT energy (no corrections) in eV/atom: -3.226
V in Å³/cell: 86
Space-group type: R-3m (166)


The following is a DFT calculation (PBE) of crystalline IrRuPt at its relaxed geometry.

a = 4.2106 Å, b = 4.2106 Å, c = 4.2106 Å
α = 60.00°, β = 60.00°, γ = 60.00°
With the nearest neighbours (Å) after each atom.
Fractional positions:
Ir: 0.0000 0.0000 0.0000  4 Ru 2.58, 4 Pt 2.58
Ru: 0.7500 0.7500 0.7500  4 Ir 2.58
Pt: 0.2500 0.2500 0.2500  4 Ir 2.58

Energy above the lowest structure with this stoichiometry in eV per atom: 0.622
Total DFT energy (no corrections) in eV/atom: -7.467
V in Å³/cell: 53
Space-group type: F-43m (216)


The following is a DFT calculation (PBE) of crystalline La3Sm4Ga4 at its relaxed geometry.

a = 9.7864 Å, b = 9.7864 Å, c = 9.7864 Å
α = 152.65°, β = 131.65°, γ = 56.44°
With the nearest neighbours (Å) after each atom.
Fractional positions:
La: 0.0000 0.0000 0.0000  4 Ga 3.44
La: 0.3933 0.8933 0.5000  4 Ga 3.30, 4 Sm 3.45, 1 La 3.68
La: 0.6067 0.1067 0.5000  4 Ga 3.30, 4 Sm 3.45, 1 La 3.68
Sm: 0.0409 0.3321 0.7087  4 Ga 2.98-3.02
Sm: 0.3766 0.6679 0.7087  4 Ga 2.98-3.02
Sm: 0.6234 0.3321 0.2913  4 Ga 2.98-3.02
Sm: 0.9591 0.6679 0.2913  4 Ga 2.98-3.02
Ga: 0.2248 0.2248 0.0000  6 Sm 2.98-3.02
Ga: 0.3170 0.5000 0.8170  1 Ga 2.93, 2 Sm 3.02
Ga: 0.6830 0.5000 0.1830  1 Ga 2.93, 2 Sm 3.02
Ga: 0.7752 0.7752 0.0000  6 Sm 2.98-3.02

Total DFT energy (no corrections) in eV/atom: -4.539
V in Å³/cell: 320
Space-group type: Immm (71)


The following is a DFT calculation (PBE) of crystalline SrTlZn4 at its relaxed geometry.

a = 5.6885 Å, b = 5.6885 Å, c = 5.6885 Å
α = 60.00°, β = 60.00°, γ = 60.00°
With the nearest neighbours (Å) after each atom.
Fractional positions:
Sr: 0.0000 0.0000 0.0000  12 Zn 3.34, 4 Tl 3.48
Tl: 0.7500 0.7500 0.7500  12 Zn 3.33, 4 Sr 3.48
Zn: 0.3751 0.3751 0.3751  6 Zn 2.84-2.85
Zn: 0.3751 0.3751 0.8748  6 Zn 2.84-2.85
Zn: 0.3751 0.8748 0.3751  6 Zn 2.84-2.85
Zn: 0.8748 0.3751 0.3751  6 Zn 2.84-2.85

Total DFT energy (no corrections) in eV/atom: -1.626
V in Å³/cell: 130
Space-group type: F-43m (216)


The following is a DFT calculation (PBE) of crystalline Mg2ZrAuO at its relaxed geometry.

a = 4.2372 Å, b = 4.2372 Å, c = 4.4830 Å
α = 90.00°, β = 90.00°, γ = 90.00°
With the nearest neighbours (Å) after each atom.
Fractional positions:
Mg: 0.0000 0.5000 0.0000  2 O 2.12
Mg: 0.5000 0.0000 0.0000  2 O 2.12
Zr: 0.0000 0.0000 0.5000  2 O 2.24
Au: 0.5000 0.5000 0.5000  4 Zr 3.00, 8 Mg 3.08
O: 0.0000 0.0000 0.0000  4 Mg 2.12, 2 Zr 2.24

E_form (uncorrected) in eV/atom: -1.18
Total DFT energy (no corrections) in eV/atom: -5.171
V in Å³/cell: 80
Space-group type: P4/mmm (123)


The following is a DFT calculation (PBE) of crystalline NaMgIrCl6 at its relaxed geometry.

a = 6.3299 Å, b = 6.3299 Å, c = 12.4631 Å
α = 90.00°, β = 90.00°, γ = 120.00°
With the nearest neighbours (Å) after each atom.
Fractional positions:
Na: 0.0000 0.0000 0.0000  6 Cl 2.88
Na: 0.0000 0.0000 0.5000  6 Cl 2.88
Mg: 0.3333 0.6667 0.2500  6 Cl 2.52
Mg: 0.6667 0.3333 0.7500  6 Cl 2.52
Ir: 0.3333 0.6667 0.7500  6 Cl 2.37
Ir: 0.6667 0.3333 0.2500  6 Cl 2.37
Cl: 0.0177 0.3702 0.6405  1 Ir 2.37, 1 Mg 2.52
Cl: 0.0177 0.6475 0.8595  1 Ir 2.37, 1 Mg 2.52
Cl: 0.3525 0.3702 0.8595  1 Ir 2.37, 1 Mg 2.52
Cl: 0.3525 0.9823 0.6405  1 Ir 2.37, 1 Mg 2.52
Cl: 0.3702 0.0177 0.1405  1 Ir 2.37, 1 Mg 2.52
Cl: 0.3702 0.3525 0.3595  1 Ir 2.37, 1 Mg 2.52
Cl: 0.6298 0.6475 0.6405  1 Ir 2.37, 1 Mg 2.52
Cl: 0.6298 0.9823 0.8595  1 Ir 2.37, 1 Mg 2.52
Cl: 0.6475 0.0177 0.3595  1 Ir 2.37, 1 Mg 2.52
Cl: 0.6475 0.6298 0.1405  1 Ir 2.37, 1 Mg 2.52
Cl: 0.9823 0.3525 0.1405  1 Ir 2.37, 1 Mg 2.52
Cl: 0.9823 0.6298 0.3595  1 Ir 2.37, 1 Mg 2.52

E_form (uncorrected) in eV/atom: -1.22
Total DFT energy (no corrections) in eV/atom: -3.763
V in Å³/cell: 432
Space-group type: P-31c (163)


The following is a DFT calculation (PBE) of crystalline PmSi3Pd3 at its relaxed geometry.

a = 8.8984 Å, b = 8.8984 Å, c = 4.2277 Å
α = 90.00°, β = 90.00°, γ = 120.00°
With the nearest neighbours (Å) after each atom.
Fractional positions:
Pm: 0.3333 0.6667 0.2500  9 Si 3.12-3.15, 6 Pd 3.25
Pm: 0.6667 0.3333 0.7500  9 Si 3.12-3.15, 6 Pd 3.25
Si: 0.0542 0.6280 0.7500  4 Pd 2.39-2.43
Si: 0.3720 0.4263 0.7500  4 Pd 2.39-2.43
Si: 0.4263 0.0542 0.2500  4 Pd 2.39-2.43
Si: 0.5737 0.9458 0.7500  4 Pd 2.39-2.43
Si: 0.6280 0.5737 0.2500  4 Pd 2.39-2.43
Si: 0.9458 0.3720 0.2500  4 Pd 2.39-2.43
Pd: 0.0800 0.3695 0.7500  4 Si 2.39-2.43
Pd: 0.2895 0.9200 0.7500  4 Si 2.39-2.43
Pd: 0.3695 0.2895 0.2500  4 Si 2.39-2.43
Pd: 0.6305 0.7105 0.7500  4 Si 2.39-2.43
Pd: 0.7105 0.0800 0.2500  4 Si 2.39-2.43
Pd: 0.9200 0.6305 0.2500  4 Si 2.39-2.43

Energy above the lowest structure with this stoichiometry in eV per atom: 0.000
E_form (uncorrected) in eV/atom: -0.54
Total DFT energy (no corrections) in eV/atom: -5.773
V in Å³/cell: 290
Space-group type: P6_3/m (176)


The following is a DFT calculation (PBE) of crystalline BaLiLa2 at its relaxed geometry.

a = 7.0664 Å, b = 7.0664 Å, c = 7.0664 Å
α = 147.36°, β = 127.71°, γ = 63.02°
With the nearest neighbours (Å) after each atom.
Fractional positions:
Ba: 0.0000 0.0000 0.0000  2 Li 3.43, 4 La 3.73
Li: 0.7679 0.2679 0.5000  6 La 3.34-3.70, 2 Ba 3.43
La: 0.2856 0.7856 0.5000  4 Li 3.70, 4 La 3.71-3.97, 4 Ba 3.97-4.05
La: 0.5453 0.5453 0.0000  2 Li 3.34, 2 La 3.71, 4 Ba 3.73

Energy above the lowest structure with this stoichiometry in eV per atom: 0.100
Total DFT energy (no corrections) in eV/atom: -3.230
V in Å³/cell: 149
Space-group type: Imm2 (44)